## Tb2CeTmSe5 (PBE)

Data for Tb2CeTmSe5 after structural relaxation.

Structure (POSCAR):
```
Tb2CeTmSe5
1.0
5.094 0.000 0.000
0.000 5.094 0.000
0.000 0.000 11.003
Se Ce Tm Tb
5 1 1 2
Cartesian
2.547 0.000 5.502
0.000 0.000 8.210
0.000 2.547 5.502
0.000 0.000 2.793
2.547 2.547 0.000
0.000 0.000 0.000
0.000 0.000 5.502
2.547 2.547 3.784
2.547 2.547 7.219
```

E_form (uncorrected) = -1.1837 eV per atom
Uncorrected energy = -47.74 eV/cell